This record from Alexandria via LeMat-Bulk describes SrAc5Pd6 after structural relaxation. The functional is PBE.

Cell and atoms, written as extended XYZ:
```
12
Lattice="7.5216 -0.1265 -1.4195 -4.0719 6.3253 -1.4195 0.1429 0.2568 7.6361" Properties=species:S:1:pos:R:3 pbc="T T T"
Pd 2.6076 4.6857 -0.1795
Sr 0.0000 0.0000 0.0000
Pd 0.7101 5.9089 3.5809
Pd 0.9850 1.7700 4.9766
Pd -1.0546 2.7378 1.2162
Ac -0.2070 4.1745 -1.4195
Ac 1.7963 3.2278 2.3985
Ac 5.6683 1.0731 2.3985
Pd 4.6472 3.7179 3.5809
Ac 3.6566 2.0244 -1.4195
Pd 2.8825 0.5468 1.2162
Ac -2.0756 5.3826 2.3985
```

Output
ΔE_f ... -8.788 eV per formula unit
Theoretical density ... 8.5 g cm⁻³
Symmetry ... C2/m
DFT total energy ... -62.2 eV per cell
Size of the total moment ... 0.00 μB per cell